Compound: Th8Bi2Ir3
Source: the Alexandria database
Functional: PBE
Structure: optimized geometry

Summary:
Final energy, eV per formula unit: -99.2
Volume, A^3/atom: 35.049

Lattice parameters (Å, degrees): 9.1135 9.1135 7.1679 104.56 104.56 52.88
Positions (direct):
Th1 0.0968 0.0968 0.3941
Th2 0.1555 0.6435 0.1003
Th3 0.3565 0.8445 0.8997
Th4 0.3941 0.3941 0.5857
Th5 0.6059 0.6059 0.4143
Th6 0.6435 0.1555 0.1003
Th7 0.8445 0.3565 0.8997
Th8 0.9032 0.9032 0.6059
Bi1 0.2479 0.2479 0.8310
Bi2 0.7521 0.7521 0.1690
Ir1 0.0000 0.0000 0.0000
Ir2 0.2566 0.7434 0.5000
Ir3 0.7434 0.2566 0.5000



Compound: PmScCd4
Source: the Alexandria database
Functional: PBE
Structure: optimized geometry

Summary:
Final energy, eV per formula unit: -16.0
Offset from the most stable computed form, eV per atom: 0.064
Volume, A^3/atom: 23.812

Lattice parameters (Å, degrees): 5.8679 5.8679 5.8679 60.00 60.00 60.00
Positions (direct):
Pm1 0.0000 0.0000 0.0000
Sc1 0.2500 0.2500 0.2500
Cd1 0.1255 0.6248 0.6248
Cd2 0.6248 0.1255 0.6248
Cd3 0.6248 0.6248 0.1255
Cd4 0.6248 0.6248 0.6248



Compound: Ca2ReSiB
Source: the Alexandria database
Functional: PBE
Structure: optimized geometry

Summary:
Final energy, eV per formula unit: -24.7
Energy relative to the elements, uncorrected, meV per atom: 775
Volume, A^3/atom: 20.588

Lattice parameters (Å, degrees): 5.3052 5.3052 3.6573 90.00 90.00 90.00
Positions (direct):
Ca1 0.0000 0.5000 0.0000
Ca2 0.5000 0.0000 0.0000
Re1 0.0000 0.0000 0.5000
Si1 0.5000 0.5000 0.5000
B1 0.5000 0.5000 0.0000



Compound: LaZn11Cu
Source: the Alexandria database
Functional: PBE
Structure: optimized geometry

Summary:
Final energy, eV per formula unit: -25.6
Volume, A^3/atom: 16.223

Lattice parameters (Å, degrees): 6.8760 6.8760 6.8639 98.11 98.11 135.54
Positions (direct):
La1 0.0000 0.0000 0.0000
Zn1 0.0000 0.0000 0.5000
Zn2 0.0000 0.5000 0.0000
Zn3 0.0135 0.3667 0.3591
Zn4 0.2793 0.5018 0.7721
Zn5 0.3667 0.0135 0.3591
Zn6 0.4982 0.7207 0.2279
Zn7 0.5000 0.0000 0.0000
Zn8 0.5018 0.2793 0.7721
Zn9 0.6333 0.9865 0.6409
Zn10 0.7207 0.4982 0.2279
Zn11 0.9865 0.6333 0.6409
Cu1 0.5000 0.5000 0.5000



Compound: Gd3H12Pd5
Source: the Alexandria database
Functional: PBE
Structure: optimized geometry

Summary:
Final energy, eV per formula unit: -115.1
Volume, A^3/atom: 10.630

Lattice parameters (Å, degrees): 10.3375 10.3375 10.3375 109.47 109.47 109.47
Positions (direct):
Gd1 0.1250 0.2500 0.3750
Gd2 0.1250 0.3750 0.7500
Gd3 0.2500 0.3750 0.1250
Gd4 0.2500 0.8750 0.6250
Gd5 0.3750 0.1250 0.2500
Gd6 0.3750 0.7500 0.1250
Gd7 0.6250 0.2500 0.8750
Gd8 0.6250 0.8750 0.7500
Gd9 0.7500 0.1250 0.3750
Gd10 0.7500 0.6250 0.8750
Gd11 0.8750 0.6250 0.2500
Gd12 0.8750 0.7500 0.6250
H1 0.0232 0.1970 0.1147
H2 0.0232 0.3263 0.9085
H3 0.0822 0.6970 0.6737
H4 0.0822 0.8853 0.4085
H5 0.0915 0.6147 0.4178
H6 0.0915 0.9768 0.6737
H7 0.1147 0.0232 0.1970
H8 0.1147 0.5915 0.9178
H9 0.1737 0.1970 0.5822
H10 0.1737 0.4768 0.5915
H11 0.1970 0.1147 0.0232
H12 0.1970 0.5822 0.1737
H13 0.3030 0.3263 0.9178
H14 0.3030 0.4768 0.3853
H15 0.3263 0.9085 0.0232
H16 0.3263 0.9178 0.3030
H17 0.3853 0.3030 0.4768
H18 0.3853 0.5822 0.9085
H19 0.4085 0.0822 0.8853
H20 0.4085 0.8263 0.5232
H21 0.4178 0.0915 0.6147
H22 0.4178 0.8263 0.8030
H23 0.4768 0.3853 0.3030
H24 0.4768 0.5915 0.1737
H25 0.5232 0.4085 0.8263
H26 0.5232 0.6147 0.6970
H27 0.5822 0.1737 0.1970
H28 0.5822 0.9085 0.3853
H29 0.5915 0.1737 0.4768
H30 0.5915 0.9178 0.1147
H31 0.6147 0.4178 0.0915
H32 0.6147 0.6970 0.5232
H33 0.6737 0.0822 0.6970
H34 0.6737 0.0915 0.9768
H35 0.6970 0.5232 0.6147
H36 0.6970 0.6737 0.0822
H37 0.8030 0.4178 0.8263
H38 0.8030 0.8853 0.9768
H39 0.8263 0.5232 0.4085
H40 0.8263 0.8030 0.4178
H41 0.8853 0.4085 0.0822
H42 0.8853 0.9768 0.8030
H43 0.9085 0.0232 0.3263
H44 0.9085 0.3853 0.5822
H45 0.9178 0.1147 0.5915
H46 0.9178 0.3030 0.3263
H47 0.9768 0.6737 0.0915
H48 0.9768 0.8030 0.8853
Pd1 0.0000 0.0000 0.0000
Pd2 0.0000 0.0000 0.5000
Pd3 0.0000 0.5000 0.0000
Pd4 0.0000 0.5000 0.5000
Pd5 0.1250 0.7500 0.8750
Pd6 0.1250 0.8750 0.2500
Pd7 0.2500 0.1250 0.8750
Pd8 0.2500 0.6250 0.3750
Pd9 0.3750 0.2500 0.6250
Pd10 0.3750 0.6250 0.7500
Pd11 0.5000 0.0000 0.0000
Pd12 0.5000 0.0000 0.5000
Pd13 0.5000 0.5000 0.0000
Pd14 0.5000 0.5000 0.5000
Pd15 0.6250 0.3750 0.2500
Pd16 0.6250 0.7500 0.3750
Pd17 0.7500 0.3750 0.6250
Pd18 0.7500 0.8750 0.1250
Pd19 0.8750 0.1250 0.7500
Pd20 0.8750 0.2500 0.1250



Compound: BaTaMn3
Source: the Alexandria database
Functional: PBE
Structure: optimized geometry

Summary:
Final energy, eV per formula unit: -27.0
Offset from the most stable computed form, eV per atom: 1.968
Volume, A^3/atom: 19.272

Lattice parameters (Å, degrees): 4.5846 4.5846 4.5846 90.00 90.00 90.00
Positions (direct):
Ba1 0.0000 0.0000 0.0000
Ta1 0.5000 0.5000 0.5000
Mn1 0.0000 0.0000 0.5000
Mn2 0.0000 0.5000 0.0000
Mn3 0.5000 0.0000 0.0000



Compound: BaNi2Sn2
Source: the Alexandria database
Functional: PBE
Structure: optimized geometry

Summary:
Final energy, eV per formula unit: -22.3
Volume, A^3/atom: 24.478

Lattice parameters (Å, degrees): 7.6285 7.6285 7.6285 33.79 33.79 33.79
Positions (direct):
Ba1 0.0000 0.0000 0.0000
Ni1 0.4460 0.4460 0.4460
Ni2 0.5540 0.5540 0.5540
Sn1 0.2139 0.2139 0.2139
Sn2 0.7861 0.7861 0.7861



Compound: SrLiHgPd3
Source: the Alexandria database
Functional: PBE
Structure: optimized geometry

Summary:
Final energy, eV per formula unit: -21.7
Volume, A^3/atom: 20.147

Lattice parameters (Å, degrees): 7.1918 7.1918 6.1828 90.00 90.00 130.88
Positions (direct):
Sr1 0.1875 0.8125 0.7500
Sr2 0.8125 0.1875 0.2500
Li1 0.4182 0.5818 0.7500
Li2 0.5818 0.4182 0.2500
Hg1 0.1509 0.8491 0.2500
Hg2 0.8491 0.1509 0.7500
Pd1 0.2331 0.2331 0.0000
Pd2 0.2331 0.2331 0.5000
Pd3 0.3631 0.6369 0.2500
Pd4 0.6369 0.3631 0.7500
Pd5 0.7669 0.7669 0.0000
Pd6 0.7669 0.7669 0.5000



Compound: PaTiBiSb
Source: the Alexandria database
Functional: PBE
Structure: optimized geometry

Summary:
Final energy, eV per formula unit: -26.1
Energy relative to the elements, uncorrected, meV per atom: -180
Volume, A^3/atom: 24.209

Lattice parameters (Å, degrees): 5.1545 5.1545 5.1545 60.00 60.00 60.00
Positions (direct):
Pa1 0.0000 0.0000 0.0000
Ti1 0.5000 0.5000 0.5000
Bi1 0.7500 0.7500 0.7500
Sb1 0.2500 0.2500 0.2500



Compound: NaLaDy
Source: the Alexandria database
Functional: PBE
Structure: optimized geometry

Summary:
Final energy, eV per formula unit: -10.4
Offset from the most stable computed form, eV per atom: 0.041
Volume, A^3/atom: 35.317

Lattice parameters (Å, degrees): 8.6517 8.6517 8.6517 156.13 156.13 34.01
Positions (direct):
Na1 0.0000 0.0000 0.0000
La1 0.6793 0.6793 0.0000
Dy1 0.3310 0.3310 0.0000



Compound: CeDy2HoTm
Source: the Alexandria database
Functional: PBE
Structure: optimized geometry

Summary:
Final energy, eV per formula unit: -22.7
Volume, A^3/atom: 31.790

Lattice parameters (Å, degrees): 5.8135 7.6634 7.1357 90.00 90.00 90.00
Positions (direct):
Ce1 0.0000 0.0000 0.0000
Ce2 0.5000 0.0000 0.0000
Dy1 0.2500 0.2935 0.3201
Dy2 0.2500 0.7065 0.3201
Dy3 0.7500 0.2935 0.6799
Dy4 0.7500 0.7065 0.6799
Ho1 0.2500 0.5000 0.8438
Ho2 0.7500 0.5000 0.1562
Tm1 0.2500 0.0000 0.6103
Tm2 0.7500 0.0000 0.3897



Compound: GdYLuHg
Source: the Alexandria database
Functional: PBE
Structure: optimized geometry

Summary:
Final energy, eV per formula unit: -25.7
Volume, A^3/atom: 27.819

Lattice parameters (Å, degrees): 5.3989 5.3989 5.3989 60.00 60.00 60.00
Positions (direct):
Gd1 0.0000 0.0000 0.0000
Y1 0.5000 0.5000 0.5000
Lu1 0.2500 0.2500 0.2500
Hg1 0.7500 0.7500 0.7500



Compound: Sn2PPb
Source: the Alexandria database
Functional: PBE
Structure: optimized geometry

Summary:
Final energy, eV per formula unit: -16.5
Offset from the most stable computed form, eV per atom: 0.116
Volume, A^3/atom: 25.193

Lattice parameters (Å, degrees): 3.5245 3.5245 8.1121 90.00 90.00 90.00
Positions (direct):
Sn1 0.0000 0.0000 0.1981
Sn2 0.0000 0.0000 0.8019
P1 0.5000 0.5000 0.0000
Pb1 0.5000 0.5000 0.5000



Compound: SmIn2
Source: the Alexandria database
Functional: PBE
Structure: optimized geometry

Summary:
Final energy, eV per formula unit: -11.1
Volume, A^3/atom: 27.089

Lattice parameters (Å, degrees): 6.7294 6.7294 6.7294 148.86 148.86 44.62
Positions (direct):
Sm1 0.0000 0.0000 0.0000
In1 0.3250 0.3250 0.0000
In2 0.6750 0.6750 0.0000



Compound: Er2PuSc
Source: the Alexandria database
Functional: PBE
Structure: optimized geometry

Summary:
Final energy, eV per formula unit: -29.4
Offset from the most stable computed form, eV per atom: 0.005
Volume, A^3/atom: 28.084

Lattice parameters (Å, degrees): 3.3944 3.3944 9.7496 90.00 90.00 90.00
Positions (direct):
Er1 0.0000 0.0000 0.2442
Er2 0.0000 0.0000 0.7558
Pu1 0.5000 0.5000 0.5000
Sc1 0.5000 0.5000 0.0000



Compound: DyCu2Pt
Source: the Alexandria database
Functional: PBE
Structure: optimized geometry

Summary:
Final energy, eV per formula unit: -20.7
Volume, A^3/atom: 16.569

Lattice parameters (Å, degrees): 4.5424 4.5424 4.5424 60.00 60.00 60.00
Positions (direct):
Dy1 0.0000 0.0000 0.0000
Cu1 0.2500 0.2500 0.2500
Cu2 0.7500 0.7500 0.7500
Pt1 0.5000 0.5000 0.5000



Compound: Cs2BeCrSe4
Source: the Alexandria database
Functional: PBE
Structure: optimized geometry

Summary:
Final energy, eV per formula unit: -36.1
Energy relative to the elements, uncorrected, meV per atom: -889
Volume, A^3/atom: 33.575

Lattice parameters (Å, degrees): 14.7464 13.1624 7.8014 85.35 62.83 31.82
Positions (direct):
Cs1 0.0529 0.0529 0.6971
Cs2 0.3029 0.3029 0.9471
Cs3 0.6971 0.6971 0.0529
Cs4 0.9471 0.9471 0.3029
Be1 0.3750 0.3750 0.3750
Be2 0.6250 0.6250 0.6250
Cr1 0.1250 0.1250 0.1250
Cr2 0.8750 0.8750 0.8750
Se1 0.0047 0.3447 0.4181
Se2 0.2675 0.5819 0.6553
Se3 0.3447 0.0047 0.7325
Se4 0.4181 0.7325 0.0047
Se5 0.5819 0.2675 0.9953
Se6 0.6553 0.9953 0.2675
Se7 0.7325 0.4181 0.3447
Se8 0.9953 0.6553 0.5819



Compound: HgPtW2
Source: the Alexandria database
Functional: PBE
Structure: optimized geometry

Summary:
Final energy, eV per formula unit: -30.5
Volume, A^3/atom: 16.790

Lattice parameters (Å, degrees): 5.1878 5.1878 5.1878 135.70 135.70 64.44
Positions (direct):
Hg1 0.0000 0.0000 0.0000
Pt1 0.5000 0.5000 0.0000
W1 0.2500 0.7500 0.5000
W2 0.7500 0.2500 0.5000



Compound: NaCaBr2
Source: the Alexandria database
Functional: PBE
Structure: optimized geometry

Summary:
Final energy, eV per formula unit: -12.4
Offset from the most stable computed form, eV per atom: 0.000
Energy relative to the elements, uncorrected, meV per atom: -1443
Volume, A^3/atom: 41.950

Lattice parameters (Å, degrees): 11.2302 11.2302 11.2302 21.57 21.57 21.57
Positions (direct):
Na1 0.0000 0.0000 0.0000
Ca1 0.5000 0.5000 0.5000
Br1 0.1177 0.1177 0.1177
Br2 0.8823 0.8823 0.8823



Compound: LiTm2Sc
Source: the Alexandria database
Functional: PBE
Structure: optimized geometry

Summary:
Final energy, eV per formula unit: -16.7
Offset from the most stable computed form, eV per atom: 0.044
Volume, A^3/atom: 25.940

Lattice parameters (Å, degrees): 5.3230 5.3230 3.6620 90.00 90.00 90.00
Positions (direct):
Li1 0.0000 0.0000 0.0000
Tm1 0.0000 0.5000 0.5000
Tm2 0.5000 0.0000 0.5000
Sc1 0.5000 0.5000 0.0000



Compound: NaLi3
Source: the Alexandria database
Functional: PBE
Structure: optimized geometry

Summary:
Final energy, eV per formula unit: -6.8
Offset from the most stable computed form, eV per atom: 0.032
Volume, A^3/atom: 24.261

Lattice parameters (Å, degrees): 5.6969 5.6969 5.6969 133.02 133.02 68.62
Positions (direct):
Na1 0.0000 0.0000 0.0000
Li1 0.2500 0.7500 0.5000
Li2 0.5000 0.5000 0.0000
Li3 0.7500 0.2500 0.5000



Compound: Y2TcW
Source: the Alexandria database
Functional: PBE
Structure: optimized geometry

Summary:
Final energy, eV per formula unit: -33.9
Offset from the most stable computed form, eV per atom: 0.523
Volume, A^3/atom: 21.100

Lattice parameters (Å, degrees): 5.1049 5.1049 3.2388 90.00 90.00 90.00
Positions (direct):
Y1 0.0000 0.5000 0.0000
Y2 0.5000 0.0000 0.0000
Tc1 0.0000 0.0000 0.5000
W1 0.5000 0.5000 0.5000



Compound: LaHg3Br
Source: the Alexandria database
Functional: PBE
Structure: optimized geometry

Summary:
Final energy, eV per formula unit: -7.0
Offset from the most stable computed form, eV per atom: 0.000
Energy relative to the elements, uncorrected, meV per atom: 99
Volume, A^3/atom: 49.754

Lattice parameters (Å, degrees): 6.2893 6.2893 6.2893 90.00 90.00 90.00
Positions (direct):
La1 0.0000 0.0000 0.0000
Hg1 0.0000 0.0000 0.5000
Hg2 0.0000 0.5000 0.0000
Hg3 0.5000 0.0000 0.0000
Br1 0.5000 0.5000 0.5000